# 1
A plane-wave DFT calculation with PBE was carried out for an optimized crystal structure of PuTl6Cd. Values from VASP.

Computed properties:
Its density is 11.51 g/cm3. As for the energy relative to the elements: 31.7 meV per atom. The calculation puts the magnetization at 6.05 μB per formula unit. The electronic total energy comes out at -3.649 eV per atom. As for the space group: No. 65.

The structure in Quantum ESPRESSO input format:
```
&SYSTEM
  ibrav = 0, nat = 8, ntyp = 3
/
ATOMIC_SPECIES
Tl 204.38 Tl.upf
Cd 112.41 Cd.upf
Pu 244.00 Pu.upf
CELL_PARAMETERS angstrom
5.292 0.000 0.000
0.000 6.670 1.075
0.000 1.160 6.656
ATOMIC_POSITIONS crystal
Tl 0.500 0.000 0.500
Tl 0.500 0.500 0.000
Tl 0.000 0.773 0.773
Tl 0.000 0.282 0.718
Tl 0.000 0.227 0.227
Tl 0.000 0.718 0.282
Cd 0.500 0.500 0.500
Pu 0.500 0.000 0.000
```

---

# 2
A plane-wave DFT calculation with PBE was carried out for an optimized crystal structure of PuTlCd4. Values from VASP.

Computed properties:
Its density is 9.88 g/cm3. As for the energy relative to the elements: -29.3 meV per atom. The calculation puts the magnetization at 6.03 μB per formula unit. The electronic total energy comes out at -3.422 eV per atom. As for the space group: No. 10.

The structure in Quantum ESPRESSO input format:
```
&SYSTEM
  ibrav = 0, nat = 6, ntyp = 3
/
ATOMIC_SPECIES
Cd 112.41 Cd.upf
Tl 204.38 Tl.upf
Pu 244.00 Pu.upf
CELL_PARAMETERS angstrom
3.222 0.000 0.005
0.000 5.131 0.000
-0.035 0.000 9.133
ATOMIC_POSITIONS crystal
Cd 0.998 0.000 0.668
Cd 0.002 0.000 0.332
Cd 0.998 0.500 0.835
Cd 0.002 0.500 0.165
Tl 0.500 0.500 0.500
Pu 0.500 0.000 0.000
```

---

# 3
A plane-wave DFT calculation with PBE was carried out for an optimized crystal structure of PuTlCd4. Values from VASP.

Computed properties:
Its density is 9.68 g/cm3. As for the energy relative to the elements: 32.0 meV per atom. The calculation puts the magnetization at 5.97 μB per formula unit. The electronic total energy comes out at -3.361 eV per atom. As for the space group: No. 216.

The structure in Quantum ESPRESSO input format:
```
&SYSTEM
  ibrav = 0, nat = 6, ntyp = 3
/
ATOMIC_SPECIES
Pu 244.00 Pu.upf
Cd 112.41 Cd.upf
Tl 204.38 Tl.upf
CELL_PARAMETERS angstrom
-3.985 4.014 2.050
-3.854 2.624 -3.802
-5.848 -1.400 0.202
ATOMIC_POSITIONS crystal
Pu 0.250 0.250 0.250
Cd 0.625 0.126 0.625
Cd 0.126 0.625 0.625
Cd 0.625 0.625 0.126
Cd 0.625 0.625 0.625
Tl 0.000 0.000 0.000
```